1.
Below is a relaxed Tc2MoOs crystal, with properties calculated at the PBE-GGA level.

- ΔE to the lowest computed polymorph: 0.025 eV/atom
- Space group: Cmmm (65)
- DFT total energy: -10.609 eV/atom
- Energy relative to the elements: 0.090 eV per atom

a = 4.7865 Å, b = 4.7865 Å, c = 2.7502 Å
α = 90.00°, β = 90.00°, γ = 109.48°
Fractional positions:
Tc1 0.0000 0.5000 0.0000
Tc2 0.5000 0.0000 0.0000
Mo1 0.0000 0.0000 0.5000
Os1 0.5000 0.5000 0.5000

***

2.
Below is a relaxed Sm3ThPd4 crystal, with properties calculated at the PBE-GGA level.

- Space group: Imm2 (44)
- DFT total energy: -5.819 eV/atom
- Energy relative to the elements: -0.526 eV per atom

a = 6.8375 Å, b = 6.8375 Å, c = 6.8375 Å
α = 131.72°, β = 88.31°, γ = 111.34°
Fractional positions:
Sm1 0.0000 0.0000 0.0000
Sm2 0.0758 0.3391 0.7367
Sm3 0.6025 0.3391 0.2633
Th1 0.3684 0.8684 0.5000
Pd1 0.4651 0.7130 0.7521
Pd2 0.6693 0.4264 0.7571
Pd3 0.6693 0.9121 0.2429
Pd4 0.9609 0.7130 0.2479

***

3.
Below is a relaxed AlSbCl2 crystal, with properties calculated at the PBE-GGA level.

- ΔE to the lowest computed polymorph: 0.124 eV/atom
- Space group: Pm (6)
- DFT total energy: -3.412 eV/atom
- ΔE_f (raw): -0.52 eV/atom

a = 3.3802 Å, b = 5.4340 Å, c = 7.1461 Å
α = 90.00°, β = 90.06°, γ = 90.00°
Fractional positions:
Al1 0.0000 0.0000 0.0000
Sb1 0.0003 0.5000 0.9125
Cl1 0.0003 0.5000 0.5811
Cl2 0.5009 0.0000 0.2309

***

4.
Below is a relaxed Cd2Ga5Ag4 crystal, with properties calculated at the PBE-GGA level.

- ΔE to the lowest computed polymorph: 0.009 eV/atom
- Space group: C2/m (12)
- DFT total energy: -2.563 eV/atom
- Energy relative to the elements: 0.016 eV per atom

a = 6.8685 Å, b = 6.8685 Å, c = 8.5980 Å
α = 128.64°, β = 128.64°, γ = 44.97°
Fractional positions:
Cd1 0.1732 0.1732 0.1737
Cd2 0.8268 0.8268 0.8263
Ga1 0.2529 0.7464 0.3436
Ga2 0.2536 0.7471 0.6564
Ga3 0.5000 0.5000 0.0000
Ga4 0.7464 0.2529 0.3436
Ga5 0.7471 0.2536 0.6564
Ag1 0.2629 0.2629 0.5882
Ag2 0.2632 0.2632 0.9386
Ag3 0.7368 0.7368 0.0614
Ag4 0.7371 0.7371 0.4118

***

5.
Below is a relaxed Sc3AgI crystal, with properties calculated at the PBE-GGA level.

- ΔE to the lowest computed polymorph: 0.000 eV/atom
- Space group: Pm-3m (221)
- DFT total energy: -4.490 eV/atom
- ΔE_f (raw): 0.19 eV/atom

a = 5.2448 Å, b = 5.2448 Å, c = 5.2448 Å
α = 90.00°, β = 90.00°, γ = 90.00°
Fractional positions:
Sc1 0.0000 0.0000 0.5000
Sc2 0.0000 0.5000 0.0000
Sc3 0.5000 0.0000 0.0000
Ag1 0.0000 0.0000 0.0000
I1 0.5000 0.5000 0.5000

***

6.
Below is a relaxed Ac3Ni2Au4 crystal, with properties calculated at the PBE-GGA level.

- Space group: C2/m (12)
- DFT total energy: -4.748 eV/atom
- Energy relative to the elements: -0.637 eV per atom

a = 6.1279 Å, b = 6.1279 Å, c = 8.8163 Å
α = 104.87°, β = 104.87°, γ = 45.38°
Fractional positions:
Ac1 0.0000 0.0000 0.0000
Ac2 0.3357 0.3357 0.3376
Ac3 0.6643 0.6643 0.6624
Ni1 0.3973 0.3973 0.7093
Ni2 0.6027 0.6027 0.2907
Au1 0.0614 0.0614 0.3781
Au2 0.2859 0.2859 0.9291
Au3 0.7141 0.7141 0.0709
Au4 0.9386 0.9386 0.6219

***

7.
Below is a relaxed La2In8Ru crystal, with properties calculated at the PBE-GGA level.

- Space group: P4/mmm (123)
- DFT total energy: -4.113 eV/atom
- Energy relative to the elements: -0.382 eV per atom

a = 4.7345 Å, b = 4.7345 Å, c = 12.5637 Å
α = 90.00°, β = 90.00°, γ = 90.00°
Fractional positions:
La1 0.0000 0.0000 0.1944
La2 0.0000 0.0000 0.8056
In1 0.0000 0.5000 0.0000
In2 0.0000 0.5000 0.3820
In3 0.0000 0.5000 0.6180
In4 0.5000 0.0000 0.0000
In5 0.5000 0.0000 0.3820
In6 0.5000 0.0000 0.6180
In7 0.5000 0.5000 0.1922
In8 0.5000 0.5000 0.8078
Ru1 0.0000 0.0000 0.5000

***

8.
Below is a relaxed RbTlBi crystal, with properties calculated at the PBE-GGA level.

- Space group: Pmmn (59)
- DFT total energy: -2.566 eV/atom
- Energy relative to the elements: -0.161 eV per atom

a = 5.6597 Å, b = 5.8386 Å, c = 8.0630 Å
α = 90.00°, β = 90.00°, γ = 90.00°
Fractional positions:
Rb1 0.2500 0.2500 0.0039
Rb2 0.7500 0.7500 0.9961
Tl1 0.2500 0.2500 0.4928
Tl2 0.7500 0.7500 0.5072
Bi1 0.2500 0.7500 0.3092
Bi2 0.7500 0.2500 0.6908